Record 1
VASP calculation (GGA-PBE) on ZrVTc after structural relaxation.

Properties
The crystal system is trigonal. The calculation puts the relative energy among the computed polymorphs at 241 meV/atom. The value obtained for the density of states at the Fermi level is 1.099 states/eV/atom. Its formation energy is -0.084 eV per atom.

Structure (POSCAR):
```
ZrVTc
1.0
3.000 0.000 0.000
0.000 4.384 0.000
0.000 -2.192 3.797
Tc Zr V
1 1 1
Cartesian
2.070 2.192 1.266
1.049 0.000 2.531
2.881 0.000 0.000
```



Record 2
VASP calculation (GGA-PBE) on TbNd2Ho6Er after structural relaxation.

Properties
The crystal system is monoclinic. The value obtained for the density of states at the Fermi level is 1.348 states/eV/atom. Its formation energy is 0.117 eV per atom.

Structure (POSCAR):
```
TbNd2Ho6Er
1.0
9.161 -2.140 -2.221
0.752 8.477 -2.010
0.752 -2.323 8.397
Tb Nd Ho Er
2 4 12 2
Cartesian
3.043 7.745 -2.375
7.623 -3.731 6.541
5.325 4.221 3.265
0.760 1.978 0.938
5.340 -0.207 0.901
9.905 2.037 3.228
1.177 -0.794 5.870
4.908 -0.811 5.852
9.488 4.808 -1.704
5.758 4.825 -1.686
3.923 6.641 0.907
2.162 4.424 -1.393
6.742 -2.626 3.259
8.504 -0.410 5.559
1.997 4.588 2.478
4.088 2.778 0.600
8.668 -0.573 1.688
6.578 1.236 3.566
3.043 1.536 3.608
7.623 2.479 0.558
```



Record 3
VASP calculation (GGA-PBE) on Zr2CuMoC after structural relaxation.

Properties
The crystal system is tetragonal. The value obtained for the density of states at the Fermi level is 1.044 states/eV/atom. Its formation energy is 2.004 eV per atom.

Structure (POSCAR):
```
Zr2CuMoC
1.0
4.942 0.000 0.000
0.000 4.555 0.000
0.000 0.000 4.942
C Mo Cu Zr
1 1 1 2
Cartesian
2.471 2.278 2.471
0.000 0.000 0.000
0.000 2.278 0.000
0.000 0.000 2.471
2.471 0.000 0.000
```



Record 4
VASP calculation (GGA-PBE) on Tb8Pr2Sc after structural relaxation.

Properties
The crystal system is monoclinic. The calculation puts the relative energy among the computed polymorphs at 0 meV/atom. The value obtained for the density of states at the Fermi level is 1.450 states/eV/atom. Its formation energy is 0.031 eV per atom.

Structure (POSCAR):
```
Tb8Pr2Sc
1.0
-3.703 2.040 2.738
-4.583 -6.364 -1.455
6.386 -3.009 6.245
Tb Pr Sc
8 2 1
Cartesian
-3.100 -2.182 2.067
2.488 -1.856 4.747
0.407 -1.639 1.772
-2.946 -4.821 -0.392
-2.307 -5.694 5.756
-4.388 -5.477 2.781
1.200 -5.151 5.461
1.047 -2.512 7.920
-0.872 -4.956 2.514
-1.028 -2.377 5.014
-1.851 1.020 1.369
```



Record 5
VASP calculation (GGA-PBE) on YSe2Br after structural relaxation.

Properties
The crystal system is trigonal. The calculation puts the relative energy among the computed polymorphs at 1514 meV/atom. The value obtained for the density of states at the Fermi level is 0.981 states/eV/atom.

Structure (POSCAR):
```
YSe2Br
1.0
-3.880 5.941 6.632
-3.979 2.604 8.468
-0.788 4.685 8.471
Y Se Br
1 2 1
Cartesian
0.000 0.000 0.000
-7.841 11.997 21.374
-0.806 1.233 2.196
-4.324 6.615 11.785
```



Record 6
VASP calculation (GGA-PBE) on Cs3InBr6 after structural relaxation.

Properties
The crystal system is cubic. The total energy comes out at -29.35 eV per formula unit. The value obtained for the density of states at the Fermi level is 0.000 states/eV/atom.

Structure (POSCAR):
```
Cs3InBr6
1.0
8.635 0.000 0.000
4.317 7.478 0.000
4.317 2.493 7.050
Cs Br In
3 6 1
Cartesian
4.317 2.493 1.763
12.952 7.478 5.288
0.000 0.000 0.000
8.635 7.198 5.090
10.551 3.879 5.090
6.719 6.092 1.960
6.719 3.879 5.090
10.551 6.092 1.960
8.635 2.773 1.960
8.635 4.985 3.525
```



Record 7
VASP calculation (GGA-PBE) on ScMnGe2 after structural relaxation.

Properties
The crystal system is tetragonal. The value obtained for the density of states at the Fermi level is 0.936 states/eV/atom. Its formation energy is 0.172 eV per atom.

Structure (POSCAR):
```
ScMnGe2
1.0
-4.304 -0.859 -0.495
0.605 -0.528 -4.343
-0.424 -8.500 -1.271
Sc Ge Mn
2 4 2
Cartesian
-1.849 -0.693 -2.419
-0.834 -4.861 -4.017
-3.224 -2.828 -1.228
0.237 -2.462 -3.036
-1.776 -6.833 -2.260
-3.484 -7.650 -5.695
0.000 0.000 0.000
-3.289 -5.026 -2.093
```



Record 8
VASP calculation (GGA-PBE) on CaBeAlS2 after structural relaxation.

Properties
The crystal system is tetragonal. The total energy comes out at -13.87 eV per formula unit. The value obtained for the density of states at the Fermi level is 0.343 states/eV/atom.

Structure (POSCAR):
```
CaBeAlS2
1.0
5.169 0.000 0.000
0.000 6.108 0.000
0.000 0.000 5.169
Be Ca S Al
1 1 2 1
Cartesian
2.585 3.054 2.585
0.000 0.000 0.000
0.000 0.000 2.585
2.585 0.000 0.000
0.000 3.054 0.000
```



Record 9
VASP calculation (GGA-PBE) on YGa2PRu2 after structural relaxation.

Properties
The crystal system is tetragonal. The value obtained for the density of states at the Fermi level is 0.784 states/eV/atom. Its formation energy is -0.463 eV per atom.

Structure (POSCAR):
```
YGa2PRu2
1.0
4.421 0.000 0.000
0.000 4.421 0.000
0.000 0.000 5.535
Y Ga P Ru
1 2 1 2
Cartesian
0.000 0.000 2.768
2.210 2.210 4.009
2.210 2.210 1.526
0.000 0.000 0.000
2.210 0.000 0.000
0.000 2.210 0.000
```



Record 10
VASP calculation (GGA-PBE) on Hf2ZrIn after structural relaxation.

Properties
The crystal system is tetragonal. The value obtained for the density of states at the Fermi level is 1.022 states/eV/atom. Its formation energy is -0.159 eV per atom.

Structure (POSCAR):
```
Hf2ZrIn
1.0
-0.191 -3.830 2.030
4.286 0.142 0.669
-2.760 4.052 2.748
Hf Zr In
2 1 1
Cartesian
-0.357 1.104 2.049
1.692 -0.740 3.398
-0.095 -1.915 1.015
2.143 0.071 0.335
```



Record 11
VASP calculation (GGA-PBE) on Y2Al3Ru after structural relaxation.

Properties
The crystal system is trigonal. The value obtained for the density of states at the Fermi level is 0.745 states/eV/atom. Its formation energy is -0.577 eV per atom.

Structure (POSCAR):
```
Y2Al3Ru
1.0
4.862 -0.146 -2.562
-3.089 4.542 -0.229
-0.237 0.109 5.440
Y Al Ru
2 3 1
Cartesian
2.448 1.598 -1.348
-0.913 2.906 3.997
0.768 2.252 1.325
-0.119 0.054 2.720
2.312 -0.019 1.439
0.000 0.000 0.000
```



Record 12
VASP calculation (GGA-PBE) on PmSnIr4 after structural relaxation.

Properties
The crystal system is cubic. The value obtained for the density of states at the Fermi level is 1.659 states/eV/atom. Its formation energy is -0.311 eV per atom.

Structure (POSCAR):
```
PmSnIr4
1.0
-3.336 -3.053 2.903
-4.133 -2.476 -2.380
0.046 -5.341 -0.591
Ir Sn Pm
4 1 1
Cartesian
-4.667 -4.117 0.254
-2.567 -5.557 1.153
-4.643 -6.800 -0.043
-2.968 -5.267 -1.501
0.000 0.000 0.000
-1.856 -2.718 -0.017
```



Record 13
VASP calculation (GGA-PBE) on SmAlZn3 after structural relaxation.

Properties
The crystal system is monoclinic. The calculation puts the relative energy among the computed polymorphs at 0 meV/atom. The value obtained for the density of states at the Fermi level is 0.489 states/eV/atom. Its formation energy is -0.349 eV per atom.

Structure (POSCAR):
```
SmAlZn3
1.0
0.767 0.897 4.113
3.972 -1.538 -0.419
4.035 4.415 0.481
Sm Al Zn
1 1 3
Cartesian
4.766 4.030 2.001
5.976 1.703 0.054
5.914 0.877 2.473
3.539 1.202 0.632
3.493 0.423 3.038
```



Record 14
VASP calculation (GGA-PBE) on Hf2CrFe2 after structural relaxation.

Properties
The crystal system is tetragonal. The value obtained for the density of states at the Fermi level is 1.225 states/eV/atom. Its formation energy is -0.065 eV per atom.

Structure (POSCAR):
```
Hf2CrFe2
1.0
-5.192 -2.351 1.876
2.792 -2.377 4.749
-0.791 3.525 2.229
Cr Hf Fe
2 4 4
Cartesian
0.000 0.000 0.000
-1.200 -2.364 3.312
0.565 -0.285 4.692
-1.648 -1.786 6.280
-3.755 -0.919 4.162
-1.542 0.582 2.574
0.524 -2.908 4.783
-2.707 -3.543 4.642
-2.923 -1.821 1.842
0.307 -1.185 1.982
```



Record 15
VASP calculation (GGA-PBE) on Ca3BiPb after structural relaxation.

Properties
The crystal system is cubic. The calculation puts the relative energy among the computed polymorphs at 311 meV/atom. The value obtained for the density of states at the Fermi level is 1.763 states/eV/atom. Its formation energy is -0.291 eV per atom.

Structure (POSCAR):
```
Ca3BiPb
1.0
-5.243 2.485 1.227
-2.765 -4.519 -2.666
-0.182 -2.929 5.154
Pb Ca Bi
1 3 1
Cartesian
-4.095 -2.482 1.857
-1.383 -2.259 -1.333
-0.091 -1.465 2.577
-2.622 1.242 0.614
0.000 0.000 0.000
```